Entry w
Entry from the Alexandria database: a relaxed Pm4Cu2S crystal (PBE-GGA).

Values from the calculation:
DOS(E_F) = 7.99 states/eV per cell
M_tot = 0.0 μB per formula unit

a b c (Å): 7.8148 7.8148 7.8148
angles (deg): 139.66 139.66 58.37
Last column: nearest neighbours and their distance in Å.
Sites, in units of the cell vectors:
Pm 0.0000 0.5000 0.5000  2 S 2.69, 4 Cu 2.99
Pm 0.2033 0.2033 0.0000  1 Cu 2.76, 1 S 2.77
Pm 0.5000 0.0000 0.5000  2 S 2.69, 4 Cu 2.99
Pm 0.7967 0.7967 0.0000  1 Cu 2.76, 1 S 2.77
Cu 0.4055 0.4055 0.0000  1 Cu 2.58, 1 Pm 2.76
Cu 0.5945 0.5945 0.0000  1 Cu 2.58, 1 Pm 2.76
S 0.0000 0.0000 0.0000  6 Pm 2.69-2.77


Entry x
Entry from the Alexandria database: a relaxed Pm4Cu2S crystal (PBE-GGA).

Values from the calculation:
DOS(E_F) = 5.39 states/eV per cell
M_tot = 0.0 μB per formula unit

a b c (Å): 6.8390 6.8390 8.4765
angles (deg): 123.45 123.45 33.79
Last column: nearest neighbours and their distance in Å.
Sites, in units of the cell vectors:
Pm 0.0914 0.0914 0.3936  1 S 2.82, 4 Cu 2.98-3.10
Pm 0.3292 0.3292 0.9193  2 S 2.77, 3 Cu 3.09
Pm 0.6708 0.6708 0.0807  2 S 2.77, 3 Cu 3.09
Pm 0.9086 0.9086 0.6064  1 S 2.82, 4 Cu 2.98-3.10
Cu 0.3883 0.3883 0.3283  1 Cu 2.69, 2 Pm 2.98
Cu 0.6117 0.6117 0.6717  1 Cu 2.69, 2 Pm 2.98
S 0.0000 0.0000 0.0000  6 Pm 2.77-2.82


How far above the most stable structure does each one sit? In eV/atom: entry w 0.175; entry x 0.000.


Entry w
Entry from the Alexandria database: a relaxed Pm2CuSb crystal (PBE-GGA).

Values from the calculation:
DOS(E_F) = 3.60 states/eV per cell
M_tot = 0.0 μB per formula unit

a b c (Å): 5.2602 5.2602 5.2602
angles (deg): 60.00 60.00 60.00
Last column: nearest neighbours and their distance in Å.
Sites, in units of the cell vectors:
Pm 0.2500 0.2500 0.2500  4 Sb 3.22, 4 Cu 3.22
Pm 0.7500 0.7500 0.7500  4 Sb 3.22, 4 Cu 3.22
Cu 0.0000 0.0000 0.0000  8 Pm 3.22
Sb 0.5000 0.5000 0.5000  8 Pm 3.22


Entry x
Entry from the Alexandria database: a relaxed Pm2CuSb crystal (PBE-GGA).

Values from the calculation:
DOS(E_F) = 3.08 states/eV per cell
M_tot = 0.0 μB per formula unit

a b c (Å): 5.0912 5.0912 3.9933
angles (deg): 90.00 90.00 90.00
Last column: nearest neighbours and their distance in Å.
Sites, in units of the cell vectors:
Pm 0.0000 0.5000 0.0000  4 Cu 3.24, 4 Sb 3.24, 4 Pm 3.60
Pm 0.5000 0.0000 0.0000  4 Cu 3.24, 4 Sb 3.24, 4 Pm 3.60
Cu 0.0000 0.0000 0.5000  8 Pm 3.24, 4 Sb 3.60
Sb 0.5000 0.5000 0.5000  8 Pm 3.24, 4 Cu 3.60


How far above the most stable structure does each one sit? In eV/atom: entry w 0.026; entry x 0.000.


Entry w
Entry from the Alexandria database: a relaxed PmCuSb2 crystal (PBE-GGA).

Values from the calculation:
DOS(E_F) = 2.71 states/eV per cell
M_tot = 0.0 μB per formula unit

a b c (Å): 4.3682 4.3682 10.0261
angles (deg): 90.00 90.00 90.00
Last column: nearest neighbours and their distance in Å.
Sites, in units of the cell vectors:
Pm 0.2500 0.2500 0.2502  8 Sb 3.23-3.32, 4 Cu 3.33
Pm 0.7500 0.7500 0.7498  8 Sb 3.23-3.32, 4 Cu 3.33
Cu 0.2500 0.7500 0.0000  4 Sb 2.68
Cu 0.7500 0.2500 0.0000  4 Sb 2.68
Sb 0.2500 0.2500 0.8454  4 Cu 2.68
Sb 0.2500 0.7500 0.5000  4 Sb 3.09, 4 Pm 3.32
Sb 0.7500 0.2500 0.5000  4 Sb 3.09, 4 Pm 3.32
Sb 0.7500 0.7500 0.1546  4 Cu 2.68


Entry x
Entry from the Alexandria database: a relaxed PmCuSb2 crystal (PBE-GGA).

Values from the calculation:
DOS(E_F) = 1.62 states/eV per cell
M_tot = 0.0 μB per formula unit

a b c (Å): 4.6978 4.6978 4.3329
angles (deg): 90.00 90.00 90.00
Last column: nearest neighbours and their distance in Å.
Sites, in units of the cell vectors:
Pm 0.0000 0.0000 0.0000  8 Sb 3.20, 4 Cu 3.32
Cu 0.5000 0.5000 0.0000  8 Sb 3.20, 4 Pm 3.32
Sb 0.0000 0.5000 0.5000  4 Pm 3.20, 4 Cu 3.20, 4 Sb 3.32
Sb 0.5000 0.0000 0.5000  4 Pm 3.20, 4 Cu 3.20, 4 Sb 3.32


Entry y
Entry from the Alexandria database: a relaxed PmCuSb2 crystal (PBE-GGA).

Values from the calculation:
DOS(E_F) = 4.02 states/eV per cell
M_tot = 0.0 μB per formula unit

a b c (Å): 5.1935 5.1935 5.1935
angles (deg): 60.00 60.00 60.00
Last column: nearest neighbours and their distance in Å.
Sites, in units of the cell vectors:
Pm 0.0000 0.0000 0.0000  8 Sb 3.18
Cu 0.5000 0.5000 0.5000  8 Sb 3.18
Sb 0.2500 0.2500 0.2500  4 Cu 3.18, 4 Pm 3.18
Sb 0.7500 0.7500 0.7500  4 Cu 3.18, 4 Pm 3.18


How far above the most stable structure does each one sit? In eV/atom: entry w 0.000; entry x 0.267; entry y 0.503.